A geometry-optimized PuTl2HgBr6 structure. Source: the Alexandria database, functional PBE.

Properties
The symmetry is R3. For the formation energy (no corrections), the calculation gives -1.00 eV per atom. For the final energy, the calculation gives -39.41 eV/cell.

Cell: 8.7655 8.7655 8.7655 Å, 55.84 55.84 55.84°
Fractional coordinates of all 10 atoms:
Pu 0.0000 0.0000 0.0000
Tl 0.1910 0.1910 0.1910
Tl 0.6678 0.6678 0.6678
Hg 0.4927 0.4927 0.4927
Br 0.0591 0.8120 0.3546
Br 0.2086 0.6501 0.9289
Br 0.3546 0.0591 0.8120
Br 0.6501 0.9289 0.2086
Br 0.8120 0.3546 0.0591
Br 0.9289 0.2086 0.6501